DFT (PBE) results for SiIr2PdW after structural relaxation.

Lattice parameters (Å, degrees): 4.724 4.724 4.688 90.00 90.00 90.00
Fractional coordinates of all 5 atoms:
Si  0.000  0.000  0.000
Ir  0.000  0.500  0.500
Ir  0.500  0.000  0.500
Pd  0.500  0.500  0.000
W  0.000  0.000  0.500

Computed properties:
Uncorrected energy in eV per atom: -6.8351
Raw formation energy in meV per atom: 1423.1

=====

DFT (PBE) results for Sm6IrPd2 after structural relaxation.

Lattice parameters (Å, degrees): 6.695 7.468 12.101 90.00 121.02 90.00
Fractional coordinates of all 18 atoms:
Sm  0.094  0.184  0.431
Sm  0.094  0.316  0.931
Sm  0.255  0.675  0.428
Sm  0.255  0.825  0.928
Sm  0.404  0.043  0.248
Sm  0.404  0.457  0.748
Sm  0.596  0.543  0.252
Sm  0.596  0.957  0.752
Sm  0.745  0.175  0.072
Sm  0.745  0.325  0.572
Sm  0.906  0.684  0.069
Sm  0.906  0.816  0.569
Ir  0.500  0.000  0.500
Ir  0.500  0.500  0.000
Pd  0.176  0.116  0.736
Pd  0.176  0.384  0.236
Pd  0.824  0.616  0.764
Pd  0.824  0.884  0.264

Computed properties:
Uncorrected energy in eV per atom: -5.8274
Calculated formation energy in eV per atom: -0.54

=====

DFT (PBE) results for Sm4IrPd after structural relaxation.

Lattice parameters (Å, degrees): 4.942 4.942 7.028 90.08 90.08 90.00
Fractional coordinates of all 6 atoms:
Sm  0.001  0.500  0.758
Sm  0.500  0.001  0.758
Sm  0.500  0.999  0.242
Sm  0.999  0.500  0.242
Ir  0.000  0.000  0.000
Pd  0.500  0.500  0.500

Computed properties:
Uncorrected energy in eV per atom: -5.9866
Calculated formation energy in eV per atom: -0.50

=====

DFT (PBE) results for Sm6IrPd2 after structural relaxation.

Lattice parameters (Å, degrees): 8.528 8.528 8.528 109.89 109.52 109.01
Fractional coordinates of all 18 atoms:
Sm  0.055  0.238  0.817
Sm  0.167  0.463  0.296
Sm  0.167  0.871  0.704
Sm  0.331  0.244  0.574
Sm  0.331  0.756  0.087
Sm  0.421  0.238  0.183
Sm  0.579  0.762  0.817
Sm  0.669  0.244  0.913
Sm  0.669  0.756  0.426
Sm  0.833  0.129  0.296
Sm  0.833  0.537  0.704
Sm  0.945  0.762  0.183
Ir  0.000  0.000  0.000
Ir  0.500  0.500  0.000
Pd  0.158  0.500  0.658
Pd  0.368  0.868  0.500
Pd  0.632  0.132  0.500
Pd  0.842  0.500  0.342

Computed properties:
Uncorrected energy in eV per atom: -5.8098
Calculated formation energy in eV per atom: -0.53

=====

DFT (PBE) results for Sm2IrPd after structural relaxation.

Lattice parameters (Å, degrees): 5.001 5.001 5.001 60.00 60.00 60.00
Fractional coordinates of all 4 atoms:
Sm  0.250  0.250  0.250
Sm  0.750  0.750  0.750
Ir  0.000  0.000  0.000
Pd  0.500  0.500  0.500

Computed properties:
Uncorrected energy in eV per atom: -6.6364
Calculated formation energy in eV per atom: -0.76

=====

DFT (PBE) results for Sm12IrPd6 after structural relaxation.

Lattice parameters (Å, degrees): 8.385 8.385 8.385 98.46 98.46 98.46
Fractional coordinates of all 19 atoms:
Sm  0.043  0.921  0.679
Sm  0.079  0.321  0.957
Sm  0.182  0.578  0.417
Sm  0.321  0.957  0.079
Sm  0.417  0.182  0.578
Sm  0.422  0.583  0.818
Sm  0.578  0.417  0.182
Sm  0.583  0.818  0.422
Sm  0.679  0.043  0.921
Sm  0.818  0.422  0.583
Sm  0.921  0.679  0.043
Sm  0.957  0.079  0.321
Ir  0.000  0.000  0.000
Pd  0.131  0.312  0.619
Pd  0.312  0.619  0.131
Pd  0.381  0.869  0.688
Pd  0.619  0.131  0.312
Pd  0.688  0.381  0.869
Pd  0.869  0.688  0.381

Computed properties:
Uncorrected energy in eV per atom: -5.5963
Calculated formation energy in eV per atom: -0.51

=====

DFT (PBE) results for Sm5IrPd2 after structural relaxation.

Lattice parameters (Å, degrees): 9.271 9.271 9.271 133.64 133.64 67.65
Fractional coordinates of all 16 atoms:
Sm  0.000  0.000  0.000
Sm  0.022  0.522  0.846
Sm  0.176  0.022  0.500
Sm  0.324  0.824  0.846
Sm  0.478  0.324  0.500
Sm  0.500  0.500  0.000
Sm  0.522  0.676  0.500
Sm  0.676  0.176  0.154
Sm  0.824  0.978  0.500
Sm  0.978  0.478  0.154
Ir  0.250  0.250  0.000
Ir  0.750  0.750  0.000
Pd  0.131  0.369  0.500
Pd  0.369  0.869  0.238
Pd  0.631  0.131  0.762
Pd  0.869  0.631  0.500

Computed properties:
Uncorrected energy in eV per atom: -5.9546
Calculated formation energy in eV per atom: -0.60

=====

DFT (PBE) results for Sm5Ir2Pd2 after structural relaxation.

Lattice parameters (Å, degrees): 8.381 8.381 7.716 90.00 90.00 54.90
Fractional coordinates of all 18 atoms:
Sm  0.000  0.000  0.000
Sm  0.039  0.696  0.667
Sm  0.196  0.539  0.167
Sm  0.304  0.961  0.667
Sm  0.461  0.804  0.167
Sm  0.500  0.500  0.500
Sm  0.539  0.196  0.833
Sm  0.696  0.039  0.333
Sm  0.804  0.461  0.833
Sm  0.961  0.304  0.333
Ir  0.132  0.868  0.369
Ir  0.368  0.632  0.869
Ir  0.632  0.368  0.131
Ir  0.868  0.132  0.631
Pd  0.205  0.205  0.000
Pd  0.295  0.295  0.500
Pd  0.705  0.705  0.500
Pd  0.795  0.795  0.000

Computed properties:
Uncorrected energy in eV per atom: -6.4660
Calculated formation energy in eV per atom: -0.72